No. 1
A relaxed structure of SrCu2Sb2. Source: Alexandria, functional PBE-GGA.

```
data_SrCu2Sb2
_cell_length_a 8.232
_cell_length_b 8.232
_cell_length_c 3.376
_cell_angle_alpha 90.00
_cell_angle_beta 90.00
_cell_angle_gamma 90.00
_space_group_name_H-M_alt 'P 4/m b m'
_space_group_IT_number 127
_space_group_name_Hall '-P 4 2ab'
loop_
_atom_site_label
_atom_site_type_symbol
_atom_site_fract_x
_atom_site_fract_y
_atom_site_fract_z
Sr1 Sr 0.000 0.000 0.000
Cu1 Cu 0.137 0.363 0.500
Sb1 Sb 0.144 0.644 0.000
```

Results
As for the electronic total energy: -0.1338 hartree per atom.



No. 2
A relaxed structure of InSbBr4. Source: Alexandria, functional PBE-GGA.

```
data_InSbBr4
_cell_length_a 9.110
_cell_length_b 9.110
_cell_length_c 9.110
_cell_angle_alpha 90.00
_cell_angle_beta 90.00
_cell_angle_gamma 90.00
_space_group_name_H-M_alt 'F -4 3 m'
_space_group_IT_number 216
_space_group_name_Hall 'F -4 2 3'
loop_
_atom_site_label
_atom_site_type_symbol
_atom_site_fract_x
_atom_site_fract_y
_atom_site_fract_z
In1 In 0.000 0.000 0.000
Sb1 Sb 0.250 0.250 0.750
Br1 Br 0.125 0.125 0.375
```

Results
The offset from the most stable computed form comes out at 1064 meV per atom. As for the electronic total energy: -0.0669 hartree per atom.



No. 3
A relaxed structure of NbCdSn. Source: Alexandria, functional PBE-GGA.

```
data_NbCdSn
_cell_length_a 3.653
_cell_length_b 3.653
_cell_length_c 9.677
_cell_angle_alpha 90.00
_cell_angle_beta 90.00
_cell_angle_gamma 90.00
_space_group_name_H-M_alt 'P 4/n m m'
_space_group_IT_number 129
loop_
_space_group_symop_operation_xyz
'x,y,z'
'-x,-y,-z'
'-y+1/2,x,z'
'y+1/2,-x,-z'
'-x+1/2,-y+1/2,z'
'x+1/2,y+1/2,-z'
'y,-x+1/2,z'
'-y,x+1/2,-z'
'x+1/2,-y,-z'
'-x+1/2,y,z'
'-y,-x,-z'
'y,x,z'
'-x,y+1/2,-z'
'x,-y+1/2,z'
'y+1/2,x+1/2,-z'
'-y+1/2,-x+1/2,z'
loop_
_atom_site_label
_atom_site_type_symbol
_atom_site_fract_x
_atom_site_fract_y
_atom_site_fract_z
Nb1 Nb 0.250 0.250 0.078
Cd1 Cd 0.250 0.250 0.411
Sn1 Sn 0.250 0.250 0.775
```

Results
The calculation puts the calculated formation energy at 0.01 eV per formula unit. As for the electronic total energy: -0.1834 hartree per atom.



No. 4
A relaxed structure of NaSi4Au2. Source: Alexandria, functional PBE-GGA.

```
data_NaSi4Au2
_cell_length_a 4.961
_cell_length_b 4.961
_cell_length_c 12.953
_cell_angle_alpha 90.00
_cell_angle_beta 90.00
_cell_angle_gamma 90.00
_space_group_name_H-M_alt 'I 4/m m m'
_space_group_IT_number 139
_space_group_name_Hall '-I 4 2'
loop_
_atom_site_label
_atom_site_type_symbol
_atom_site_fract_x
_atom_site_fract_y
_atom_site_fract_z
Na1 Na 0.000 0.000 0.000
Si1 Si 0.000 0.000 0.210
Si2 Si 0.000 0.500 0.000
Au1 Au 0.000 0.000 0.391
```

Results
As for the electronic total energy: -0.1184 hartree per atom.



No. 5
A relaxed structure of AlCd2In. Source: Alexandria, functional PBE-GGA.

```
data_AlCd2In
_cell_length_a 3.516
_cell_length_b 4.854
_cell_length_c 5.453
_cell_angle_alpha 90.00
_cell_angle_beta 90.00
_cell_angle_gamma 90.00
_space_group_name_H-M_alt 'P m m m'
_space_group_IT_number 47
loop_
_space_group_symop_operation_xyz
'x,y,z'
'-x,-y,-z'
'-x,-y,z'
'x,y,-z'
'x,-y,-z'
'-x,y,z'
'-x,y,-z'
'x,-y,z'
loop_
_atom_site_label
_atom_site_type_symbol
_atom_site_fract_x
_atom_site_fract_y
_atom_site_fract_z
Al1 Al 0.000 0.000 0.000
Cd1 Cd 0.000 0.500 0.500
Cd2 Cd 0.500 0.000 0.500
In1 In 0.500 0.500 0.000
```

Results
The offset from the most stable computed form comes out at 88 meV per atom. The calculation puts the calculated formation energy at 0.66 eV per formula unit. As for the electronic total energy: -0.0703 hartree per atom.



No. 6
A relaxed structure of CdSnSe2Br. Source: Alexandria, functional PBE-GGA.

```
data_CdSnSe2Br
_cell_length_a 5.225
_cell_length_b 5.225
_cell_length_c 5.424
_cell_angle_alpha 90.00
_cell_angle_beta 90.00
_cell_angle_gamma 90.00
_space_group_name_H-M_alt 'P 4/m m m'
_space_group_IT_number 123
_space_group_name_Hall '-P 4 2'
loop_
_atom_site_label
_atom_site_type_symbol
_atom_site_fract_x
_atom_site_fract_y
_atom_site_fract_z
Cd1 Cd 0.000 0.000 0.000
Sn1 Sn 0.500 0.500 0.500
Se1 Se 0.000 0.500 0.000
Br1 Br 0.000 0.000 0.500
```

Results
The offset from the most stable computed form comes out at 0 meV per atom. As for the electronic total energy: -0.0987 hartree per atom.



The highest electronic total energy belongs to which entry?
InSbBr4



electronic total energy of number 1 (SrCu2Sb2)?
-0.1338 hartree per atom



electronic total energy of number 5 (AlCd2In)?
-0.0703 hartree per atom